Here is a relaxed structure of KInPt from OQMD via LeMat-Bulk. Energies are from GGA-PBE.

The structure in POSCAR format:
```
KInPt
1.0
0.000 3.609 3.609
3.609 0.000 3.609
3.609 3.609 0.000
In K Pt
1 1 1
Cartesian
1.804 1.804 1.804
0.000 0.000 0.000
5.413 5.413 5.413
```

Output
For the total energy, the calculation gives -2.71 eV per atom. For the total magnetic moment, the calculation gives 0.0 μB per cell.

Here is a relaxed structure of Nb4Co4Si7 from OQMD via LeMat-Bulk. Energies are from GGA-PBE.

The structure in POSCAR format:
```
Nb4Co4Si7
1.0
-0.520 0.308 4.948
-2.636 8.667 1.695
-8.238 -2.594 -3.215
Si Nb Co
14 8 8
Cartesian
-0.130 0.077 1.234
-0.390 0.231 3.714
-4.672 2.618 1.857
-3.806 -0.864 2.165
-6.722 3.763 1.570
-3.231 1.805 -0.452
-6.014 2.004 -0.757
-4.952 -1.422 -0.432
-7.643 4.268 -1.069
-6.939 0.969 1.721
-4.455 5.412 1.706
-1.905 5.269 4.494
-1.251 3.706 2.149
-5.380 4.376 4.184
-2.340 1.315 2.183
-1.158 2.592 4.739
-2.281 -0.655 -0.199
-4.067 6.726 4.176
-9.054 5.065 1.244
-1.998 6.382 1.904
-6.477 -1.631 1.931
-7.327 -0.345 -0.749
-8.094 2.388 0.256
-4.860 0.582 0.708
-5.121 0.736 3.182
-6.534 5.799 2.719
-3.300 3.993 3.171
-3.040 3.839 0.697
-6.274 5.645 0.245
-8.354 2.542 2.730
```

Output
For the total energy, the calculation gives -7.81 eV per atom. For the total magnetic moment, the calculation gives 0.1 μB per cell.

Here is a relaxed structure of La2Hf2O5 from OQMD via LeMat-Bulk. Energies are from GGA-PBE.

The structure in POSCAR format:
```
La2Hf2O5
1.0
8.311 0.000 0.000
0.000 4.134 0.000
0.000 0.000 4.134
La Hf O
2 2 5
Cartesian
6.382 2.067 2.067
1.929 2.067 2.067
0.000 0.000 0.000
4.156 0.000 0.000
5.496 2.067 0.000
2.816 2.067 0.000
5.496 0.000 2.067
4.156 2.067 2.067
2.816 0.000 2.067
```

Output
For the total energy, the calculation gives -7.69 eV per atom. For the total magnetic moment, the calculation gives 1.6 μB per cell.

Here is a relaxed structure of Sm2Sc2CI2BrCl2 from OQMD via LeMat-Bulk. Energies are from GGA-PBE.

The structure in POSCAR format:
```
Sm2Sc2CI2BrCl2
1.0
9.046 -1.890 0.000
9.046 1.890 0.000
-1.492 0.000 7.780
Sm I Sc Cl Br C
2 2 2 2 1 1
Cartesian
5.930 0.000 3.318
10.669 0.000 4.462
13.964 0.000 5.561
2.635 0.000 2.219
-0.434 0.000 2.419
17.033 0.000 5.361
15.284 0.000 1.332
1.315 0.000 6.448
9.046 0.000 0.000
8.300 0.000 3.890
```

Output
For the total energy, the calculation gives -5.32 eV per atom. For the total magnetic moment, the calculation gives 0.0 μB per cell.

Here is a relaxed structure of YGaFeTc from OQMD via LeMat-Bulk. Energies are from GGA-PBE.

The structure in POSCAR format:
```
YGaFeTc
1.0
0.000 3.259 3.259
3.259 0.000 3.259
3.259 3.259 0.000
Ga Tc Y Fe
1 1 1 1
Cartesian
0.000 0.000 0.000
3.259 3.259 3.259
1.630 1.630 1.630
4.889 4.889 4.889
```

Output
For the total energy, the calculation gives -6.84 eV per atom. For the total magnetic moment, the calculation gives 3.2 μB per cell.

Here is a relaxed structure of Sc2Cu2Pb from OQMD via LeMat-Bulk. Energies are from GGA-PBE.

The structure in POSCAR format:
```
Sc2Cu2Pb
1.0
6.387 -1.908 2.702
2.771 -0.506 6.618
-5.427 -1.410 -4.505
Pb Cu Sc
1 2 2
Cartesian
0.000 0.000 0.000
2.770 -2.263 1.428
0.962 -1.561 3.386
5.631 -1.484 5.730
3.527 -0.930 3.589
```

Output
For the total energy, the calculation gives -4.70 eV per atom. For the total magnetic moment, the calculation gives 0.0 μB per cell.

Here is a relaxed structure of NdAgNO from OQMD via LeMat-Bulk. Energies are from GGA-PBE.

The structure in POSCAR format:
```
NdAgNO
1.0
3.230 -0.629 -1.206
0.362 -4.707 3.425
-2.233 -3.277 -4.269
O N Nd Ag
2 2 2 2
Cartesian
-0.317 -7.428 -2.064
1.724 -1.814 0.471
-0.820 -5.458 0.652
-1.006 -3.112 -1.070
0.945 -1.628 -1.712
0.279 -5.225 -1.619
-1.758 -2.905 -3.190
-0.250 -3.311 1.059
```

Output
For the total energy, the calculation gives -6.11 eV per atom. For the total magnetic moment, the calculation gives 0.0 μB per cell.

Here is a relaxed structure of TmTa2Ga2 from OQMD via LeMat-Bulk. Energies are from GGA-PBE.

The structure in POSCAR format:
```
TmTa2Ga2
1.0
7.311 0.000 0.000
0.000 7.311 0.000
0.000 0.000 3.451
Ga Ta Tm
4 4 2
Cartesian
4.555 0.900 0.000
0.900 2.756 0.000
2.756 6.411 0.000
6.411 4.555 0.000
2.390 1.265 1.726
6.045 2.390 1.726
1.265 4.921 1.726
4.921 6.045 1.726
3.655 3.655 0.000
0.000 0.000 0.000
```

Output
For the total energy, the calculation gives -7.00 eV per atom. For the total magnetic moment, the calculation gives 0.0 μB per cell.

Here is a relaxed structure of YAsOsO from OQMD via LeMat-Bulk. Energies are from GGA-PBE.

The structure in POSCAR format:
```
YAsOsO
1.0
4.221 0.000 0.000
0.000 4.262 0.000
0.000 0.000 7.222
Os As O Y
2 2 2 2
Cartesian
0.000 3.155 6.825
0.000 1.106 3.214
0.000 3.259 2.016
0.000 1.002 5.627
2.111 2.976 6.694
2.111 1.286 3.083
2.111 1.008 0.742
2.111 3.254 4.353
```

Output
For the total energy, the calculation gives -7.90 eV per atom. For the total magnetic moment, the calculation gives 0.0 μB per cell.

Here is a relaxed structure of CdH8C4O8 from OQMD via LeMat-Bulk. Energies are from GGA-PBE.

The structure in POSCAR format:
```
CdH8C4O8
1.0
-5.438 3.250 -0.573
-2.066 -4.539 -6.137
-3.866 -12.053 10.215
C H O Cd
16 32 32 4
Cartesian
-5.954 -8.535 0.963
-3.145 -8.190 2.608
-5.415 -4.807 2.542
-3.552 -7.823 3.936
-7.817 -5.518 -0.432
-0.417 -0.417 -0.138
-6.770 -10.482 9.354
-5.773 -7.220 1.511
-9.952 -11.988 4.076
-5.596 -6.122 1.993
-1.417 -1.353 -0.571
-7.231 -10.576 7.996
-8.224 -5.151 0.896
-10.952 -12.925 3.642
-4.138 -2.765 -4.492
-4.599 -2.860 -5.850
-2.236 -5.240 -2.890
-6.951 -8.945 3.140
-4.219 -11.377 2.068
-6.251 -5.785 4.715
-6.694 -12.799 4.957
-5.679 -11.714 4.235
-4.510 -5.412 -0.945
-6.629 -0.811 -3.763
-3.525 -9.285 7.563
-8.986 -7.771 0.082
-5.118 -7.557 -1.210
-7.080 -3.192 -0.559
-2.383 -5.571 3.422
-9.962 -11.302 1.730
-6.859 -7.930 4.449
-5.610 -8.795 7.673
-4.740 -12.531 7.268
-4.274 -6.847 -2.441
-1.407 -2.039 1.774
-4.289 -10.150 4.063
-7.095 -6.494 5.946
-8.943 -8.250 3.527
-6.920 -12.487 2.745
-2.426 -5.091 -0.023
-7.150 -1.965 1.436
-4.418 -4.397 0.364
-5.759 -4.546 -4.169
-5.690 -1.628 -0.730
-4.675 -0.542 -1.453
-7.844 -4.057 -4.059
-9.133 -8.102 6.394
-4.449 -0.855 0.760
-7.042 -2.250 -0.206
-6.886 -12.750 1.775
-9.472 -11.135 3.274
-4.718 -1.332 -0.833
-9.660 -8.360 0.518
-3.081 -6.573 -3.436
-7.334 -4.657 -1.222
-7.956 -6.750 -0.735
-4.483 -0.592 1.729
-9.579 -12.097 5.292
-5.518 -8.794 -0.193
-4.009 -4.647 -0.526
-4.035 -8.685 4.727
-3.413 -6.591 4.239
-1.790 -1.245 -1.787
-6.651 -12.010 4.337
-6.688 -9.796 7.135
-4.682 -3.545 -3.631
-5.066 -6.749 -1.805
-4.159 -12.143 6.559
-1.897 -2.207 0.230
-1.709 -4.982 2.986
-8.289 -6.768 6.940
-7.210 -1.199 -3.054
-5.851 -4.547 3.697
-6.303 -6.593 5.309
-4.327 -11.092 3.710
-8.154 -11.386 7.706
-7.360 -8.694 4.030
-4.830 -3.936 1.803
-6.539 -9.406 1.702
-3.216 -1.955 -4.201
-6.306 -11.196 0.236
-5.063 -2.146 3.269
-8.020 -10.422 5.334
-3.350 -2.920 -1.830
```

Output
For the total energy, the calculation gives -5.83 eV per atom.

Here is a relaxed structure of Sm2Re2O5 from OQMD via LeMat-Bulk. Energies are from GGA-PBE.

The structure in POSCAR format:
```
Sm2Re2O5
1.0
9.709 0.000 0.000
0.000 3.534 0.000
0.000 0.000 3.534
Sm O Re
2 5 2
Cartesian
7.126 1.767 1.767
2.583 1.767 1.767
1.135 1.767 0.000
8.574 1.767 0.000
4.855 1.767 1.767
1.135 0.000 1.767
8.574 0.000 1.767
0.000 0.000 0.000
4.855 0.000 0.000
```

Output
For the total energy, the calculation gives -7.92 eV per atom. For the total magnetic moment, the calculation gives 1.4 μB per cell.

Here is a relaxed structure of MgGaNi from OQMD via LeMat-Bulk. Energies are from GGA-PBE.

The structure in POSCAR format:
```
MgGaNi
1.0
-2.479 -4.301 -1.108
3.728 -1.309 -3.263
3.293 -3.197 5.045
Ni Mg Ga
4 4 4
Cartesian
-1.239 -2.150 -0.554
3.511 -2.253 0.891
0.625 -2.805 -2.185
1.646 -1.599 2.523
3.778 -3.092 3.545
1.785 -4.511 1.837
2.757 -4.296 -1.162
0.765 -5.715 -2.870
1.136 -2.202 0.169
4.646 -4.455 1.061
-0.104 -4.352 -0.385
3.407 -6.605 0.506
```

Output
For the total energy, the calculation gives -3.75 eV per atom. For the total magnetic moment, the calculation gives 0.0 μB per cell.